## SiBIN2 (meta-GGA SCAN)

Data for a crystal of SiBIN2 relaxed with PBEsol.

The structure in CIF format:
```
data_SiBIN2
_cell_length_a 3.592
_cell_length_b 3.592
_cell_length_c 4.916
_cell_angle_alpha 90.00
_cell_angle_beta 90.00
_cell_angle_gamma 90.00
_symmetry_space_group_name_H-M 'P 4/m m m'
_symmetry_Int_Tables_number 123
_symmetry_space_group_name_Hall '-P 4 2'
loop_
_atom_site_label
_atom_site_fract_x
_atom_site_fract_y
_atom_site_fract_z
Si1 0.000 0.000 0.000
B1 0.500 0.500 0.500
I1 0.500 0.500 0.000
N1 0.000 0.500 0.500
```

Formation energy from raw total energies: 9.93 eV per formula unit
V: 63.43 Å³ per cell
N(E_F): 1.8 states/eV/f.u.